PrTmAg after structural relaxation, computed with PBE-GGA.

## Properties
Raw total energy: -25.1 eV/cell
Energy of formation from the pure elements: -0.147 eV per atom
Total magnetization: 0.0 Bohr magnetons per cell
Space group: P4/nmm
DOS at the Fermi energy: 1.19 states/eV/atom
Polymorph energy (0 for the lowest one): 22 meV/atom

```
PrTmAg
1.0
4.838 0.000 0.000
0.000 4.838 0.000
0.000 0.000 7.468
Pr Tm Ag
2 2 2
direct
0.250 0.250 0.125
0.750 0.750 0.875
0.250 0.750 0.500
0.750 0.250 0.500
0.250 0.250 0.730
0.750 0.750 0.270
```